No. 1
Ba2Cd6AgPt | PBE | relaxed

Summary:
D(E_F) (states/eV/f.u.): 5.7
Formation enthalpy at 0 K (meV/atom): -235
Magnetization (Bohr magnetons per cell): 0.0

```
data_Ba2Cd6AgPt
_cell_length_a 7.544
_cell_length_b 7.544
_cell_length_c 10.643
_cell_angle_alpha 90.00
_cell_angle_beta 90.00
_cell_angle_gamma 90.00
_space_group_name_H-M_alt 'I 4/m m m'
_space_group_IT_number 139
_space_group_name_Hall '-I 4 2'
loop_
_atom_site_label
_atom_site_type_symbol
_atom_site_fract_x
_atom_site_fract_y
_atom_site_fract_z
Ba1 Ba 0.000 0.500 0.250
Cd1 Cd 0.000 0.000 0.248
Cd2 Cd 0.248 0.248 0.000
Ag1 Ag 0.000 0.000 0.500
Pt1 Pt 0.000 0.000 0.000
```



No. 2
CsCu5Se4 | PBE | relaxed

Summary:
Formation energy (no corrections) (eV/atom): -0.266
D(E_F) (states/eV/f.u.): 0.1
Magnetization (Bohr magnetons per cell): 0.0

```
data_CsCu5Se4
_cell_length_a 7.775
_cell_length_b 9.217
_cell_length_c 7.460
_cell_angle_alpha 90.00
_cell_angle_beta 90.00
_cell_angle_gamma 90.00
_space_group_name_H-M_alt 'P m m n'
_space_group_IT_number 59
loop_
_space_group_symop_operation_xyz
'x,y,z'
'-x,-y,-z'
'-x+1/2,-y+1/2,z'
'x+1/2,y+1/2,-z'
'x+1/2,-y,-z'
'-x+1/2,y,z'
'-x,y+1/2,-z'
'x,-y+1/2,z'
loop_
_atom_site_label
_atom_site_type_symbol
_atom_site_fract_x
_atom_site_fract_y
_atom_site_fract_z
Cs1 Cs 0.250 0.250 0.187
Cu1 Cu 0.052 0.601 0.407
Cu2 Cu 0.250 0.750 0.618
Se1 Se 0.093 0.750 0.154
Se2 Se 0.250 0.001 0.634
```



No. 3
LaHo2ThHg4 | PBE | relaxed

Summary:
D(E_F) (states/eV/f.u.): 8.9
Formation enthalpy at 0 K (meV/atom): -392
Magnetization (Bohr magnetons per cell): 4.8

```
data_LaHo2ThHg4
_cell_length_a 5.3648
_cell_length_b 5.3648
_cell_length_c 26.3727
_cell_angle_alpha 90.00
_cell_angle_beta 90.00
_cell_angle_gamma 120.00
_space_group_name_H-M_alt 'R -3 m'
_space_group_IT_number 166
_space_group_name_Hall '-R 3 2"'
loop_
_atom_site_label
_atom_site_type_symbol
_atom_site_fract_x
_atom_site_fract_y
_atom_site_fract_z
La1 La 0.0000 0.0000 0.0000
Ho1 Ho 0.0000 0.0000 0.2483
Th1 Th 0.0000 0.0000 0.5000
Hg1 Hg 0.0000 0.0000 0.1253
Hg2 Hg 0.0000 0.0000 0.3758
```



What did we get for raw total energy? Answer: -41.154, -75.866, -77.539 eV/cell, in the order shown.